1.
This record from the Alexandria database describes a relaxed structure of Tb2Y3Tm7. The functional is GGA-PBE.

## Properties
Calculated volume (Å³ per atom): 31.27
Total moment (μB/cell): 0.00
Density of states at the Fermi level (states/eV/f.u.): 18.1
Formation enthalpy at 0 K (kcal/mol of atoms): 1.9
E (eV per formula unit): -58.939

Unit cell a=6.2653 b=3.4917 c=17.2514 alpha=90.00 beta=96.22 gamma=90.00
Element x y z (fractional)
Tb 0.0613 0.0000 0.1740
Tb 0.9387 0.0000 0.8260
Y 0.4489 0.5000 0.8426
Y 0.5000 0.0000 0.5000
Y 0.5511 0.5000 0.1574
Tm 0.0000 0.5000 0.5000
Tm 0.2231 0.0000 0.6663
Tm 0.2547 0.0000 0.9989
Tm 0.2741 0.5000 0.3348
Tm 0.7259 0.5000 0.6652
Tm 0.7453 0.0000 0.0011
Tm 0.7769 0.0000 0.3337

***

2.
This record from the Alexandria database describes a relaxed structure of Dy2TmGa. The functional is GGA-PBE.

## Properties
Calculated volume (Å³ per atom): 27.18
Total moment (μB/cell): 0.00
Density of states at the Fermi level (states/eV/f.u.): 4.6
Formation enthalpy at 0 K (kcal/mol of atoms): -6.2
E (eV per formula unit): -17.779

Unit cell a=3.5021 b=3.5021 c=8.8658 alpha=90.00 beta=90.00 gamma=90.00
Element x y z (fractional)
Dy 0.0000 0.0000 0.2114
Dy 0.0000 0.0000 0.7886
Tm 0.5000 0.5000 0.5000
Ga 0.5000 0.5000 0.0000

***

| no. | distance to the lowest polymorph of the same formula (meV/atom) |
| --- | --- |
| 1 | 0 |
| 2 | 10 |